## CaSm3Hg4 (PBE)

Data for crystalline CaSm3Hg4 at its relaxed geometry.

a b c (Å): 5.3338 7.6489 10.6711
angles (deg): 90.00 90.00 90.00
With the nearest neighbours (Å) after each atom.
Sites, in units of the cell vectors:
Ca 0.0000 0.5000 0.0000  8 Hg 3.28
Ca 0.0000 0.5000 0.5000  8 Hg 3.28
Hg 0.5000 0.7494 0.0000  2 Ca 3.28, 6 Sm 3.28
Hg 0.5000 0.7494 0.5000  2 Ca 3.28, 6 Sm 3.28
Hg 0.5000 0.2506 0.0000  2 Ca 3.28, 6 Sm 3.28
Hg 0.5000 0.2506 0.5000  2 Ca 3.28, 6 Sm 3.28
Hg 0.0001 0.7494 0.7500  6 Sm 3.28, 2 Ca 3.28
Hg 0.9999 0.7494 0.2500  6 Sm 3.28, 2 Ca 3.28
Hg 0.9999 0.2506 0.2500  6 Sm 3.28, 2 Ca 3.28
Hg 0.0001 0.2506 0.7500  6 Sm 3.28, 2 Ca 3.28
Sm 0.0000 0.0000 0.0000  8 Hg 3.28
Sm 0.0000 0.0000 0.5000  8 Hg 3.28
Sm 0.5001 0.0000 0.7500  8 Hg 3.28
Sm 0.4999 0.0000 0.2500  8 Hg 3.28
Sm 0.5001 0.5000 0.7500  8 Hg 3.28
Sm 0.4999 0.5000 0.2500  8 Hg 3.28

- total magnetization (μB per cell) = 0.7
- E_form (eV/atom) = -0.51
- space-group type = P4/mmm (123)
- energy (eV per atom) = -2.6790